# 1
{"formula": "Li2ReTe", "functional": "PBE", "state": "optimized geometry", "n_ef_per_ev_cell": 3.2, "m_tot_mub_per_fu": 0.00, "formation_energy_uncorrected_ev_per_atom": 0.320, "polymorph_energy_mev_per_atom": 171, "lattice_angstrom": [[-1.7510, 0.3268, 4.9404], [2.5148, -4.3684, -1.4744], [2.4585, 1.1469, 0.7954]], "species": ["Te", "Re", "Li", "Li"], "fractional_positions": [[0.0000, 0.5000, 0.5000], [0.5000, 0.0000, 0.5000], [0.5000, 0.5000, 0.0000], [0.0000, 0.0000, 0.0000]]}

=====

# 2
{"formula": "HfTaPdSe2", "functional": "PBE", "state": "optimized geometry", "n_ef_per_ev_cell": 3.0, "m_tot_mub_per_fu": 0.81, "formation_energy_uncorrected_ev_per_atom": 0.350, "lattice_angstrom": [[-3.9415, 2.5926, 1.2007], [-2.6679, -4.1990, 0.3085], [1.1719, -0.3988, 4.7081]], "species": ["Se", "Ta", "Pd", "Se", "Hf"], "fractional_positions": [[0.0000, 0.0000, 0.5000], [0.0000, 0.0000, 0.0000], [0.0000, 0.5000, 0.0000], [0.5000, 0.0000, 0.0000], [0.5000, 0.5000, 0.5000]]}

=====

# 3
{"formula": "CsNaInBi", "functional": "PBE", "state": "optimized geometry", "n_ef_per_ev_cell": 3.5, "m_tot_mub_per_fu": 0.00, "delta_e_f_mev_per_atom": -161, "lattice_angstrom": [[-4.0703, -0.7543, 3.2905], [-2.6494, -2.4806, -3.8460], [5.5839, -12.3009, 4.0873]], "species": ["Na", "Cs", "In", "In", "Cs", "Bi", "Na", "Bi"], "fractional_positions": [[0.7500, 0.2500, 0.5000], [0.7500, 0.7500, 0.2277], [0.7500, 0.2500, 0.0000], [0.2500, 0.7500, 0.0000], [0.2500, 0.2500, 0.7723], [0.2500, 0.2500, 0.1185], [0.2500, 0.7500, 0.5000], [0.7500, 0.7500, 0.8815]]}

=====

# 4
{"formula": "Hf4Bi5H", "functional": "PBE", "state": "optimized geometry", "n_ef_per_ev_cell": 6.5, "total_energy_ev_per_cell": -62.831, "m_tot_mub_per_fu": 0.00, "lattice_angstrom": [[3.2914, 0.0000, 0.0000], [0.0000, 8.8756, 0.2497], [-1.6457, -1.0438, 8.4473]], "species": ["Hf", "Hf", "Bi", "Bi", "Hf", "Hf", "H", "Bi", "Bi", "Bi"], "fractional_positions": [[0.6336, 0.0608, 0.2671], [0.0090, 0.8280, 0.0180], [0.8118, 0.2103, 0.6236], [0.8433, 0.6272, 0.6866], [0.3664, 0.9392, 0.7329], [0.9910, 0.1720, 0.9820], [0.5000, 0.0000, 0.0000], [0.1882, 0.7897, 0.3764], [0.1567, 0.3728, 0.3134], [0.5000, 0.5000, 0.0000]]}

=====

# 5
{"formula": "Tm3ScGa2", "functional": "PBE", "state": "optimized geometry", "n_ef_per_ev_cell": 13.5, "m_tot_mub_per_fu": 1.19, "delta_e_f_mev_per_atom": -385, "lattice_angstrom": [[-4.0565, 3.9229, 2.4608], [-4.0775, -4.5704, 0.5643], [6.8208, -1.2606, 5.5527]], "species": ["Sc", "Tm", "Ga", "Ga", "Sc", "Tm", "Tm", "Ga", "Tm", "Tm", "Ga", "Tm"], "fractional_positions": [[0.0000, 0.7500, 0.0000], [0.0655, 0.8209, 0.6419], [0.1117, 0.3692, 0.7383], [0.8883, 0.6308, 0.2617], [0.0000, 0.2500, 0.0000], [0.5000, 0.2500, 0.0000], [0.4236, 0.6791, 0.3581], [0.6267, 0.8692, 0.7383], [0.5000, 0.7500, 0.0000], [0.9345, 0.1791, 0.3581], [0.3733, 0.1308, 0.2617], [0.5764, 0.3209, 0.6419]]}

=====

# 6
{"formula": "Dy6Sb3P2Se", "functional": "PBE", "state": "optimized geometry", "n_ef_per_ev_cell": 2.2, "m_tot_mub_per_fu": 0.00, "formation_energy_uncorrected_ev_per_atom": -1.398, "lattice_angstrom": [[4.1875, 0.0000, 0.0000], [0.0000, 8.4525, 0.2646], [-2.0938, -2.4724, 8.8469]], "species": ["Dy", "Dy", "P", "P", "Dy", "Se", "Sb", "Dy", "Dy", "Dy", "Sb", "Sb"], "fractional_positions": [[0.9919, 0.7512, 0.9839], [0.3328, 0.8984, 0.6656], [0.8327, 0.6669, 0.6654], [0.1673, 0.3331, 0.3346], [0.3274, 0.4306, 0.6548], [0.5000, 0.0000, 0.0000], [0.8365, 0.1671, 0.6730], [0.6672, 0.1016, 0.3344], [0.0081, 0.2488, 0.0161], [0.6726, 0.5694, 0.3452], [0.1635, 0.8329, 0.3270], [0.5000, 0.5000, 0.0000]]}

=====

# 7
{"formula": "LiY2Sc", "functional": "PBE", "state": "optimized geometry", "n_ef_per_ev_cell": 7.0, "m_tot_mub_per_fu": 0.14, "delta_e_f_mev_per_atom": 212, "polymorph_energy_mev_per_atom": 134, "lattice_angstrom": [[6.1988, -0.0109, 0.0000], [2.8465, 5.5065, 0.0000], [-4.5226, -2.7478, 3.2280]], "species": ["Sc", "Y", "Y", "Li"], "fractional_positions": [[0.7500, 0.2500, 0.5000], [0.0000, 0.0000, 0.0000], [0.2500, 0.7500, 0.5000], [0.5000, 0.5000, 0.0000]]}

=====

# 8
{"formula": "AgTe2H", "functional": "PBE", "state": "optimized geometry", "n_ef_per_ev_cell": 2.4, "m_tot_mub_per_fu": 0.60, "polymorph_energy_mev_per_atom": 516, "lattice_angstrom": [[0.7286, -2.6890, 4.0205], [-0.0148, 2.1305, 4.4031], [-3.6952, -0.8160, 3.0994]], "species": ["Ag", "Te", "H", "Te"], "fractional_positions": [[0.5000, 0.5000, 0.5000], [0.7500, 0.7500, 0.7500], [0.0000, 0.0000, 0.0000], [0.2500, 0.2500, 0.2500]]}